Computed, not measured: a relaxed CdWC3 crystal at the PBE level of DFT.

spin magnetization = 1.10 μB/f.u.
E = -4.62 eV/atom
DFT formation energy = 355 kJ per mole of atoms

abc: 4.087 4.087 4.087
angles: 90.00 90.00 90.00
Fractional positions:
1 C 0.000 0.500 0.000
2 C 0.000 0.000 0.500
3 C 0.500 0.000 0.000
4 W 0.500 0.500 0.500
5 Cd 0.000 0.000 0.000